A relaxed structure of YIn2Co. Source: Alexandria via LeMat-Bulk, functional PBE-GGA.

Lattice parameters (Å, degrees): 3.5416 4.5920 5.5819 90.00 104.30 90.00
Closest atoms and distances in Å follow each position.
Space group P2/m (No. 10)
Asymmetric unit:
1 Y 0.0000 0.0000 0.0000 (multiplicity 1)  2 Co 2.91, 4 In 3.22
2 In 0.3631 0.5000 0.7211 (multiplicity 2)  2 Co 2.71, 2 In 2.87-3.02
3 Co 0.5000 0.0000 0.5000 (multiplicity 1)  4 In 2.71, 2 Y 2.91

Results
Density of states at the Fermi level in states/eV/cell: 3.4
Magnetic moment in μB per atom: 0.21
Energy of formation from the pure elements in meV/atom: -47.9

---

A relaxed structure of HoSnRh. Source: Alexandria via LeMat-Bulk, functional PBE-GGA.

Lattice parameters (Å, degrees): 4.6581 4.6581 3.4065 90.00 90.00 120.00
Closest atoms and distances in Å follow each position.
Space group P-6m2 (No. 187)
Asymmetric unit:
1 Ho 0.0000 0.0000 0.0000 (multiplicity 1)  6 Sn 3.18, 6 Rh 3.18, 2 Ho 3.41
2 Sn 0.6667 0.3333 0.5000 (multiplicity 1)  3 Rh 2.69
3 Rh 0.3333 0.6667 0.5000 (multiplicity 1)  3 Sn 2.69

Results
Density of states at the Fermi level in states/eV/cell: 2.1
Magnetic moment in μB per atom: 0.00
Energy of formation from the pure elements in meV/atom: -759.8

---

A relaxed structure of Ca5DyAg6. Source: Alexandria via LeMat-Bulk, functional PBE-GGA.

Lattice parameters (Å, degrees): 5.2205 7.4136 15.6572 90.00 90.00 90.00
Closest atoms and distances in Å follow each position.
Space group Immm (No. 71)
Asymmetric unit:
1 Ca 0.0000 0.0000 0.0000 (multiplicity 2)  8 Ag 3.17-3.29
2 Ca 0.0000 0.0000 0.3301 (multiplicity 4)  8 Ag 3.16-3.26
3 Ca 0.0000 0.5000 0.3357 (multiplicity 4)  8 Ag 3.24-3.27
4 Dy 0.0000 0.5000 0.0000 (multiplicity 2)  8 Ag 3.10-3.12
5 Ag 0.0000 0.2307 0.5000 (multiplicity 4)  2 Dy 3.12, 6 Ca 3.16-3.29, 1 Ag 3.42
6 Ag 0.0000 0.2582 0.1613 (multiplicity 8)  1 Dy 3.10, 7 Ca 3.17-3.27

Results
Density of states at the Fermi level in states/eV/cell: 17.1
Magnetic moment in μB per atom: 0.00
Energy of formation from the pure elements in meV/atom: -311.4

---

A relaxed structure of Ac2NpSbO8. Source: Alexandria via LeMat-Bulk, functional PBE-GGA.

Lattice parameters (Å, degrees): 4.1999 5.6564 8.1867 82.79 88.26 82.96
Closest atoms and distances in Å follow each position.
Space group P-1 (No. 2)
Asymmetric unit:
1 Ac 0.0158 0.0215 0.2485 (multiplicity 2)  8 O 2.53-2.67
2 Np 0.5000 0.5000 0.5000 (multiplicity 1)  4 O 1.99-2.02
3 Sb 0.5000 0.5000 0.0000 (multiplicity 1)  4 O 2.04-2.08
4 O 0.0856 0.7154 0.5220 (multiplicity 2)  1 Np 2.02
5 O 0.0975 0.7324 0.0311 (multiplicity 2)  1 Sb 2.04
6 O 0.4369 0.2418 0.6833 (multiplicity 2)  1 Np 1.99
7 O 0.4593 0.3058 0.2314 (multiplicity 2)  1 Sb 2.08

Results
Density of states at the Fermi level in states/eV/cell: 2.3
Magnetic moment in μB per atom: 0.10
Uncorrected formation energy in eV/atom: -2.614